No. 1
## Tl2BiPb2 (PBE-GGA)

Data for a relaxed structure of Tl2BiPb2.

Output
- Offset from the most stable computed form: 107 meV per atom
- SG: P4/mbm
- Calculated formation energy: 49 kJ/mol of formula units

abc: 9.2474 9.2474 3.7540
angles: 90.00 90.00 90.00
Sites, in units of the cell vectors:
Tl 0.1650 0.6650 0.5000
Tl 0.8350 0.3350 0.5000
Tl 0.3350 0.1650 0.5000
Tl 0.6650 0.8350 0.5000
Pb 0.8639 0.6361 0.0000
Pb 0.1361 0.3639 0.0000
Pb 0.6361 0.1361 0.0000
Pb 0.3639 0.8639 0.0000
Bi 0.5000 0.5000 0.0000
Bi 0.0000 0.0000 0.0000

=====

No. 2
## MnFeB3 (PBE-GGA)

Data for a relaxed structure of MnFeB3.

Output
- SG: Pm-3m
- Calculated formation energy: 491 kJ/mol of formula units

abc: 3.6341 3.6341 3.6341
angles: 90.00 90.00 90.00
Sites, in units of the cell vectors:
Fe 0.0000 0.0000 0.0000
Mn 0.5000 0.5000 0.5000
B 0.5000 0.0000 0.0000
B 0.0000 0.0000 0.5000
B 0.0000 0.5000 0.0000

=====

No. 3
## SbOs (PBE-GGA)

Data for a relaxed structure of SbOs.

Output
- SG: Pmmn
- Formation energy from raw total energies: 98 kJ/mol of formula units

abc: 3.2112 4.9442 4.5575
angles: 90.00 90.00 90.00
Sites, in units of the cell vectors:
Sb 0.5000 0.0000 0.5509
Sb 0.0000 0.5000 0.2824
Os 0.0000 0.0000 0.0391
Os 0.5000 0.5000 0.7942